(1)
A plane-wave DFT calculation with PBEsol was carried out for a geometry-optimized KBr structure.

Output
VASP energy   -25.84 eV/cell
Size of the total moment   0.00 μB/f.u.
Energy relative to the elements, uncorrected   -1729 meV/atom

The structure in CIF format:
```
data_KBr
_chemical_formula_sum 'K4 Br4'
_symmetry_space_group_name_H-M 'F m -3 m'
_symmetry_Int_Tables_number 225
_symmetry_space_group_name_Hall '-F 4 2 3'
_cell_length_a 6.540
_cell_length_b 6.540
_cell_length_c 6.540
_cell_angle_alpha 90.00
_cell_angle_beta 90.00
_cell_angle_gamma 90.00
loop_
_atom_site_label
_atom_site_type_symbol
_atom_site_fract_x
_atom_site_fract_y
_atom_site_fract_z
K1 K 0.000 0.000 0.000
Br1 Br 0.000 0.000 0.500
```

(2)
A plane-wave DFT calculation with PBEsol was carried out for a geometry-optimized KBr3 structure.

Output
VASP energy   -39.72 eV/cell
Size of the total moment   0.00 μB/f.u.
Energy relative to the elements, uncorrected   -797 meV/atom

The structure in CIF format:
```
data_KBr3
_chemical_formula_sum 'K4 Br12'
_symmetry_space_group_name_H-M 'C m c m'
_symmetry_Int_Tables_number 63
_symmetry_space_group_name_Hall '-C 2c 2'
_cell_length_a 10.401
_cell_length_b 17.785
_cell_length_c 5.375
_cell_angle_alpha 90.00
_cell_angle_beta 90.00
_cell_angle_gamma 90.00
loop_
_atom_site_label
_atom_site_type_symbol
_atom_site_fract_x
_atom_site_fract_y
_atom_site_fract_z
K1 K 0.000 0.168 0.250
Br1 Br 0.000 0.009 0.750
Br2 Br 0.236 0.246 0.750
```

(3)
A plane-wave DFT calculation with PBEsol was carried out for a geometry-optimized KBr structure.

Output
VASP energy   -37.07 eV/cell
Size of the total moment   0.00 μB/f.u.
Energy relative to the elements, uncorrected   -1587 meV/atom

The structure in CIF format:
```
data_KBr
_chemical_formula_sum 'K6 Br6'
_symmetry_space_group_name_H-M 'R -3 m'
_symmetry_Int_Tables_number 166
_symmetry_space_group_name_Hall '-R 3 2"'
_cell_length_a 5.4517
_cell_length_b 5.4517
_cell_length_c 23.5052
_cell_angle_alpha 90.00
_cell_angle_beta 90.00
_cell_angle_gamma 120.00
loop_
_atom_site_label
_atom_site_type_symbol
_atom_site_fract_x
_atom_site_fract_y
_atom_site_fract_z
K1 K 0.0000 0.0000 0.2328
Br1 Br 0.0000 0.0000 0.0958
```

(4)
A plane-wave DFT calculation with PBEsol was carried out for a geometry-optimized KBr3 structure.

Output
VASP energy   -20.48 eV/cell
Size of the total moment   0.00 μB/f.u.
Energy relative to the elements, uncorrected   -875 meV/atom

The structure in CIF format:
```
data_KBr3
_chemical_formula_sum 'K2 Br6'
_symmetry_space_group_name_H-M 'P m m n'
_symmetry_Int_Tables_number 59
_cell_length_a 6.571
_cell_length_b 8.219
_cell_length_c 5.849
_cell_angle_alpha 90.00
_cell_angle_beta 90.00
_cell_angle_gamma 90.00
loop_
_symmetry_equiv_pos_as_xyz
'x,y,z'
'-x,-y,-z'
'-x+1/2,-y+1/2,z'
'x+1/2,y+1/2,-z'
'x+1/2,-y,-z'
'-x+1/2,y,z'
'-x,y+1/2,-z'
'x,-y+1/2,z'
loop_
_atom_site_label
_atom_site_type_symbol
_atom_site_fract_x
_atom_site_fract_y
_atom_site_fract_z
K1 K 0.250 0.250 0.242
Br1 Br 0.250 0.063 0.742
Br2 Br 0.250 0.750 0.740
```

(5)
A plane-wave DFT calculation with PBEsol was carried out for a geometry-optimized K2Br structure.

Output
Excess energy over the best structure of this formula in the dataset   14 meV/atom
VASP energy   -29.52 eV/cell
Size of the total moment   0.00 μB/f.u.
Energy relative to the elements, uncorrected   -1081 meV/atom

The structure in CIF format:
```
data_K2Br
_chemical_formula_sum 'K8 Br4'
_symmetry_space_group_name_H-M 'C m c m'
_symmetry_Int_Tables_number 63
_symmetry_space_group_name_Hall '-C 2c 2'
_cell_length_a 4.604
_cell_length_b 18.769
_cell_length_c 6.661
_cell_angle_alpha 90.00
_cell_angle_beta 90.00
_cell_angle_gamma 90.00
loop_
_atom_site_label
_atom_site_type_symbol
_atom_site_fract_x
_atom_site_fract_y
_atom_site_fract_z
K1 K 0.000 0.071 0.250
K2 K 0.000 0.319 0.250
Br1 Br 0.000 0.303 0.750
```

(6)
A plane-wave DFT calculation with PBEsol was carried out for a geometry-optimized K2LaBr5 structure.

Output
VASP energy   -128.51 eV/cell
Size of the total moment   0.00 μB/f.u.
Energy relative to the elements, uncorrected   -1895 meV/atom

The structure in CIF format:
```
data_K2LaBr5
_chemical_formula_sum 'K8 La4 Br20'
_symmetry_space_group_name_H-M 'P n m a'
_symmetry_Int_Tables_number 62
_cell_length_a 13.208
_cell_length_b 9.181
_cell_length_c 8.401
_cell_angle_alpha 90.00
_cell_angle_beta 90.00
_cell_angle_gamma 90.00
loop_
_symmetry_equiv_pos_as_xyz
'x,y,z'
'-x,-y,-z'
'-x+1/2,-y,z+1/2'
'x+1/2,y,-z+1/2'
'x+1/2,-y+1/2,-z+1/2'
'-x+1/2,y+1/2,z+1/2'
'-x,y+1/2,-z'
'x,-y+1/2,z'
loop_
_atom_site_label
_atom_site_type_symbol
_atom_site_fract_x
_atom_site_fract_y
_atom_site_fract_z
K1 K 0.173 0.005 0.052
La1 La 0.007 0.250 0.579
Br1 Br 0.006 0.250 0.933
Br2 Br 0.081 0.546 0.668
Br3 Br 0.184 0.250 0.366
Br4 Br 0.210 0.750 0.330
```

(7)
A plane-wave DFT calculation with PBEsol was carried out for a geometry-optimized KLa2Br structure.

Output
Excess energy over the best structure of this formula in the dataset   0 meV/atom
VASP energy   -45.80 eV/cell
Size of the total moment   0.33 μB/f.u.
Energy relative to the elements, uncorrected   -392 meV/atom

The structure in CIF format:
```
data_KLa2Br
_chemical_formula_sum 'K3 La6 Br3'
_symmetry_space_group_name_H-M 'R -3 m'
_symmetry_Int_Tables_number 166
_symmetry_space_group_name_Hall '-R 3 2"'
_cell_length_a 3.7149
_cell_length_b 3.7149
_cell_length_c 36.6279
_cell_angle_alpha 90.00
_cell_angle_beta 90.00
_cell_angle_gamma 120.00
loop_
_atom_site_label
_atom_site_type_symbol
_atom_site_fract_x
_atom_site_fract_y
_atom_site_fract_z
K1 K 0.0000 0.0000 0.0000
La1 La 0.0000 0.0000 0.2299
Br1 Br 0.0000 0.0000 0.5000
```

(8)
A plane-wave DFT calculation with PBEsol was carried out for a geometry-optimized KLa2Br structure.

Output
Excess energy over the best structure of this formula in the dataset   119 meV/atom
VASP energy   -14.79 eV/cell
Size of the total moment   0.00 μB/f.u.
Energy relative to the elements, uncorrected   -273 meV/atom

The structure in CIF format:
```
data_KLa2Br
_chemical_formula_sum 'K1 La2 Br1'
_symmetry_space_group_name_H-M 'P 1 2/m 1'
_symmetry_Int_Tables_number 10
_cell_length_a 3.715
_cell_length_b 6.339
_cell_length_c 5.674
_cell_angle_alpha 90.00
_cell_angle_beta 93.77
_cell_angle_gamma 90.00
loop_
_symmetry_equiv_pos_as_xyz
'x,y,z'
'-x,-y,-z'
'-x,y,-z'
'x,-y,z'
loop_
_atom_site_label
_atom_site_type_symbol
_atom_site_fract_x
_atom_site_fract_y
_atom_site_fract_z
K1 K 0.000 0.000 0.000
La1 La 0.324 0.500 0.727
Br1 Br 0.500 0.000 0.500
```

(9)
A plane-wave DFT calculation with PBEsol was carried out for a geometry-optimized KLa2PbBr structure.

Output
VASP energy   -19.60 eV/cell
Size of the total moment   0.00 μB/f.u.
Energy relative to the elements, uncorrected   -381 meV/atom

The structure in CIF format:
```
data_KLa2PbBr
_chemical_formula_sum 'K1 La2 Pb1 Br1'
_symmetry_space_group_name_H-M 'P 4/m m m'
_symmetry_Int_Tables_number 123
_symmetry_space_group_name_Hall '-P 4 2'
_cell_length_a 5.641
_cell_length_b 5.641
_cell_length_c 5.590
_cell_angle_alpha 90.00
_cell_angle_beta 90.00
_cell_angle_gamma 90.00
loop_
_atom_site_label
_atom_site_type_symbol
_atom_site_fract_x
_atom_site_fract_y
_atom_site_fract_z
K1 K 0.000 0.000 0.000
La1 La 0.000 0.500 0.500
Pb1 Pb 0.500 0.500 0.000
Br1 Br 0.000 0.000 0.500
```

(10)
A plane-wave DFT calculation with PBEsol was carried out for a geometry-optimized KLiBr2 structure.

Output
VASP energy   -13.05 eV/cell
Size of the total moment   0.00 μB/f.u.
Energy relative to the elements, uncorrected   -1551 meV/atom

The structure in CIF format:
```
data_KLiBr2
_chemical_formula_sum 'K1 Li1 Br2'
_symmetry_space_group_name_H-M 'P 1 2/m 1'
_symmetry_Int_Tables_number 10
_cell_length_a 4.115
_cell_length_b 3.746
_cell_length_c 7.378
_cell_angle_alpha 90.00
_cell_angle_beta 97.91
_cell_angle_gamma 90.00
loop_
_symmetry_equiv_pos_as_xyz
'x,y,z'
'-x,-y,-z'
'-x,y,-z'
'x,-y,z'
loop_
_atom_site_label
_atom_site_type_symbol
_atom_site_fract_x
_atom_site_fract_y
_atom_site_fract_z
K1 K 0.000 0.000 0.000
Li1 Li 0.500 0.000 0.500
Br1 Br 0.430 0.500 0.738
```

- Look up the size of the total moment of the fourth one.
  0.00 μB/f.u.